# Mg2BPb (PBE-GGA, relaxed)
data_Mg2BPb
_cell_length_a 6.800
_cell_length_b 6.800
_cell_length_c 6.800
_cell_angle_alpha 90.00
_cell_angle_beta 90.00
_cell_angle_gamma 90.00
_symmetry_space_group_name_H-M 'F m -3 m'
_symmetry_Int_Tables_number 225
_symmetry_space_group_name_Hall '-F 4 2 3'
loop_
_atom_site_label
_atom_site_type_symbol
_atom_site_fract_x
_atom_site_fract_y
_atom_site_fract_z
Mg1 Mg 0.250 0.250 0.250
B1 B 0.000 0.000 0.000
Pb1 Pb 0.000 0.000 0.500
# DFT formation energy in eV per atom: 0.6910
# Energy above the most stable polymorph in this dataset in eV per formula unit: 0.000
# D(E_F) in states/eV per atom: 0.5643
# Total moment in μB/atom: 0.000
# E_tot in eV per atom: -2.70